A plane-wave DFT calculation with PBE was carried out for an optimized crystal structure of AlZnSn3.

Unit cell a=5.2283 b=5.2283 c=5.2283 alpha=90.00 beta=90.00 gamma=90.00
Sites, in units of the cell vectors:
Sn 0.5000 0.0000 0.0000
Sn 0.0000 0.5000 0.0000
Al 0.5000 0.5000 0.5000
Sn 0.0000 0.0000 0.5000
Zn 0.0000 0.0000 0.0000

Energy relative to the elements: 0.5146 eV per atom
Total magnetization: 0.00 μB/cell
Calculated density: 5211 kg/m3